Model a:
## POsWO2 (PBE+U)

Data for a relaxed POsWO2 crystal.

Structure (CIF):
```
data_POsWO2
_chemical_formula_sum 'P1 Os1 W1 O2'
_space_group_name_H-M_alt 'P 4/m m m'
_space_group_IT_number 123
_space_group_name_Hall '-P 4 2'
_cell_length_a 3.595
_cell_length_b 3.595
_cell_length_c 5.119
_cell_angle_alpha 90.00
_cell_angle_beta 90.00
_cell_angle_gamma 90.00
loop_
_atom_site_label
_atom_site_fract_x
_atom_site_fract_y
_atom_site_fract_z
_atom_site_occupancy
P1 0.000 0.000 0.000 1
Os1 0.000 0.000 0.500 1
W1 0.500 0.500 0.500 1
O1 0.000 0.500 0.000 1
```

Model b:
## POsWO2 (PBE+U)

Data for a relaxed POsWO2 crystal.

Structure (CIF):
```
data_POsWO2
_chemical_formula_sum 'P1 Os1 W1 O2'
_space_group_name_H-M_alt 'P 4/m m m'
_space_group_IT_number 123
_space_group_name_Hall '-P 4 2'
_cell_length_a 3.765
_cell_length_b 3.765
_cell_length_c 5.567
_cell_angle_alpha 90.00
_cell_angle_beta 90.00
_cell_angle_gamma 90.00
loop_
_atom_site_label
_atom_site_fract_x
_atom_site_fract_y
_atom_site_fract_z
_atom_site_occupancy
P1 0.000 0.000 0.000 1
Os1 0.500 0.500 0.000 1
W1 0.000 0.000 0.500 1
O1 0.000 0.500 0.500 1
```

Most stable structure: model b